(1)
DFT (PBE) results for a geometry-optimized Pr3HoSc structure.

- volume (A^3/atom) = 32.94
- energy relative to the lowest polymorph listed for this composition (eV per atom) = 0.0000
- calculated formation energy (eV/atom) = 0.137
- magnetization (μB per formula unit) = 0.0

abc: 9.273 15.108 9.517
angles: 90.00 98.77 90.00
Space group C2/c (No. 15)
One atom of each set of equivalent atoms:
Pr 0.062 0.175 0.445 [8 per cell]
Pr 0.094 0.393 0.614 [8 per cell]
Pr 0.219 0.214 0.805 [8 per cell]
Ho 0.240 0.042 0.050 [8 per cell]
Sc 0.000 0.026 0.750 [4 per cell]
Sc 0.000 0.415 0.250 [4 per cell]

---

(2)
DFT (PBE) results for a geometry-optimized Pr5Ho5Sc2 structure.

- volume (A^3/atom) = 31.93
- calculated formation energy (eV/atom) = 0.043
- magnetization (μB per formula unit) = 0.0

abc: 15.089 5.032 11.269
angles: 90.00 116.40 90.00
Space group C2/m (No. 12)
One atom of each set of equivalent atoms:
Pr 0.000 0.000 0.000 [2 per cell]
Pr 0.162 0.000 0.498 [4 per cell]
Pr 0.246 0.500 0.750 [4 per cell]
Ho 0.000 0.500 0.500 [2 per cell]
Ho 0.079 0.500 0.249 [4 per cell]
Ho 0.168 0.500 0.000 [4 per cell]
Sc 0.084 0.000 0.755 [4 per cell]

---

(3)
DFT (PBE) results for a geometry-optimized PrHo9Sc2 structure.

- volume (A^3/atom) = 30.30
- energy relative to the lowest polymorph listed for this composition (eV per atom) = 0.0093
- calculated formation energy (eV/atom) = 0.040
- magnetization (μB per formula unit) = 0.0

abc: 4.952 4.952 14.827
angles: 90.00 90.00 90.00
Space group P4/mmm (No. 123)
One atom of each set of equivalent atoms:
Pr 0.000 0.000 0.000 [1 per cell]
Ho 0.000 0.500 0.174 [4 per cell]
Ho 0.000 0.500 0.500 [2 per cell]
Ho 0.500 0.500 0.000 [1 per cell]
Ho 0.500 0.500 0.338 [2 per cell]
Sc 0.000 0.000 0.336 [2 per cell]

---

(4)
DFT (PBE) results for a geometry-optimized Pr2Ho3Sc3 structure.

- volume (A^3/atom) = 29.69
- calculated formation energy (eV/atom) = 0.061
- magnetization (μB per formula unit) = 0.0

abc: 4.894 4.958 19.580
angles: 90.00 90.00 90.00
Space group Immm (No. 71)
One atom of each set of equivalent atoms:
Pr 0.000 0.000 0.250 [4 per cell]
Ho 0.000 0.000 0.000 [2 per cell]
Ho 0.000 0.500 0.119 [4 per cell]
Sc 0.000 0.000 0.500 [2 per cell]
Sc 0.000 0.500 0.380 [4 per cell]

---

(5)
DFT (PBE) results for a geometry-optimized Pr2Ho8Sc3 structure.

- volume (A^3/atom) = 30.20
- energy relative to the lowest polymorph listed for this composition (eV per atom) = 0.0000
- calculated formation energy (eV/atom) = 0.048
- magnetization (μB per formula unit) = 0.0

abc: 6.052 6.069 11.030
angles: 90.11 100.46 99.58
Space group P-1 (No. 2)
One atom of each set of equivalent atoms:
Pr 0.116 0.269 0.461 [2 per cell]
Ho 0.041 0.417 0.146 [2 per cell]
Ho 0.193 0.123 0.781 [2 per cell]
Ho 0.347 0.808 0.376 [2 per cell]
Ho 0.424 0.661 0.703 [2 per cell]
Sc 0.274 0.961 0.073 [2 per cell]
Sc 0.500 0.500 0.000 [1 per cell]

---

(6)
DFT (PBE) results for a geometry-optimized Pr2Ho5Sc2 structure.

- volume (A^3/atom) = 31.48
- energy relative to the lowest polymorph listed for this composition (eV per atom) = 0.1467
- calculated formation energy (eV/atom) = 0.189
- magnetization (μB per formula unit) = 0.0

abc: 15.151 12.599 5.937
angles: 90.00 90.00 90.00
Space group Ima2 (No. 46)
One atom of each set of equivalent atoms:
Pr 0.000 0.000 0.000 [4 per cell]
Pr 0.250 0.048 0.137 [4 per cell]
Ho 0.042 0.181 0.461 [8 per cell]
Ho 0.143 0.692 0.620 [8 per cell]
Ho 0.250 0.183 0.668 [4 per cell]
Sc 0.146 0.551 0.105 [8 per cell]

---

(7)
DFT (PBE) results for a geometry-optimized PrHo2Sc structure.

- volume (A^3/atom) = 30.61
- energy relative to the lowest polymorph listed for this composition (eV per atom) = 0.0050
- calculated formation energy (eV/atom) = 0.051
- magnetization (μB per formula unit) = 0.0

abc: 3.5325 3.5325 33.9879
angles: 90.00 90.00 120.00
Space group R3m (No. 160, hexagonal axes)
One atom of each set of equivalent atoms:
Pr 0.0000 0.0000 0.0000 [3 per cell]
Ho 0.0000 0.0000 0.5781 [3 per cell]
Ho 0.0000 0.0000 0.7544 [3 per cell]
Sc 0.0000 0.0000 0.1658 [3 per cell]

---

(8)
DFT (PBE) results for a geometry-optimized Pr3Ho12Sc structure.

- volume (A^3/atom) = 31.53
- calculated formation energy (eV/atom) = 0.030
- magnetization (μB per formula unit) = 0.0

abc: 5.020 5.020 20.024
angles: 90.00 90.00 90.00
Space group P4/mmm (No. 123)
One atom of each set of equivalent atoms:
Pr 0.000 0.000 0.000 [1 per cell]
Pr 0.000 0.000 0.253 [2 per cell]
Ho 0.000 0.500 0.127 [4 per cell]
Ho 0.000 0.500 0.381 [4 per cell]
Ho 0.500 0.500 0.000 [1 per cell]
Ho 0.500 0.500 0.254 [2 per cell]
Ho 0.500 0.500 0.500 [1 per cell]
Sc 0.000 0.000 0.500 [1 per cell]

---

(9)
DFT (PBE) results for a geometry-optimized PrHo2Sc4 structure.

- volume (A^3/atom) = 28.22
- energy relative to the lowest polymorph listed for this composition (eV per atom) = 0.0000
- calculated formation energy (eV/atom) = 0.084
- magnetization (μB per formula unit) = 0.0

abc: 6.246 8.370 8.372
angles: 66.69 81.13 81.13
Space group P1 (No. 1)
One atom of each set of equivalent atoms:
Pr 0.000 0.000 0.000 [1 per cell]
Pr 0.391 0.157 0.160 [1 per cell]
Ho 0.091 0.334 0.614 [1 per cell]
Ho 0.299 0.543 0.825 [1 per cell]
Ho 0.500 0.782 0.025 [1 per cell]
Ho 0.890 0.133 0.377 [1 per cell]
Sc 0.008 0.551 0.190 [1 per cell]
Sc 0.195 0.746 0.412 [1 per cell]
Sc 0.382 0.968 0.608 [1 per cell]
Sc 0.493 0.420 0.335 [1 per cell]
Sc 0.603 0.212 0.731 [1 per cell]
Sc 0.695 0.648 0.510 [1 per cell]
Sc 0.787 0.428 0.946 [1 per cell]
Sc 0.898 0.824 0.739 [1 per cell]

---

(10)
DFT (PBE) results for a geometry-optimized PrHo4Sc2 structure.

- volume (A^3/atom) = 29.98
- energy relative to the lowest polymorph listed for this composition (eV per atom) = 0.0000
- calculated formation energy (eV/atom) = 0.048
- magnetization (μB per formula unit) = 0.0

abc: 6.926 8.371 8.588
angles: 114.42 101.69 101.95
Space group P1 (No. 1)
One atom of each set of equivalent atoms:
Pr 0.000 0.000 0.000 [1 per cell]
Pr 0.084 0.767 0.575 [1 per cell]
Ho 0.200 0.335 0.456 [1 per cell]
Ho 0.305 0.884 0.291 [1 per cell]
Ho 0.397 0.446 0.123 [1 per cell]
Ho 0.500 0.999 0.986 [1 per cell]
Ho 0.612 0.594 0.851 [1 per cell]
Ho 0.698 0.330 0.452 [1 per cell]
Ho 0.891 0.442 0.112 [1 per cell]
Ho 0.972 0.174 0.712 [1 per cell]
Sc 0.117 0.595 0.856 [1 per cell]
Sc 0.479 0.177 0.717 [1 per cell]
Sc 0.592 0.777 0.579 [1 per cell]
Sc 0.790 0.882 0.285 [1 per cell]

---

(11)
DFT (PBE) results for a geometry-optimized Pr12Ho3Sc structure.

- volume (A^3/atom) = 34.35
- calculated formation energy (eV/atom) = 0.019
- magnetization (μB per formula unit) = 0.0

abc: 5.162 5.162 20.622
angles: 90.00 90.00 90.00
Space group P4/mmm (No. 123)
One atom of each set of equivalent atoms:
Pr 0.000 0.000 0.000 [1 per cell]
Pr 0.000 0.000 0.248 [2 per cell]
Pr 0.000 0.000 0.500 [1 per cell]
Pr 0.000 0.500 0.122 [4 per cell]
Pr 0.000 0.500 0.374 [4 per cell]
Ho 0.500 0.500 0.248 [2 per cell]
Ho 0.500 0.500 0.500 [1 per cell]
Sc 0.500 0.500 0.000 [1 per cell]

---

(12)
DFT (PBE) results for a geometry-optimized Pr11Ho9Sc4 structure.

- volume (A^3/atom) = 32.55
- calculated formation energy (eV/atom) = 0.053
- magnetization (μB per formula unit) = 0.0

abc: 16.906 25.577 3.613
angles: 90.00 90.00 90.00
Space group Cmmm (No. 65)
One atom of each set of equivalent atoms:
Pr 0.000 0.000 0.000 [2 per cell]
Pr 0.000 0.159 0.000 [4 per cell]
Pr 0.000 0.371 0.000 [4 per cell]
Pr 0.201 0.500 0.000 [4 per cell]
Pr 0.226 0.180 0.000 [8 per cell]
Ho 0.000 0.500 0.500 [2 per cell]
Ho 0.102 0.269 0.500 [8 per cell]
Ho 0.146 0.072 0.500 [8 per cell]
Sc 0.157 0.398 0.500 [8 per cell]